1.
# YFe2Rh (PBE, optimized geometry)
# DFT formation energy, meV per atom: -46
data_YFe2Rh
_chemical_formula_sum 'Y1 Fe2 Rh1'
_symmetry_space_group_name_H-M 'P m m 2'
_symmetry_Int_Tables_number 25
_symmetry_space_group_name_Hall 'P 2 -2'
_cell_length_a 3.1569
_cell_length_b 3.1728
_cell_length_c 6.4734
_cell_angle_alpha 90.00
_cell_angle_beta 90.00
_cell_angle_gamma 90.00
loop_
_atom_site_label
_atom_site_type_symbol
_atom_site_fract_x
_atom_site_fract_y
_atom_site_fract_z
Y1 Y 0.0000 0.0000 0.0000
Fe1 Fe 0.0000 0.0000 0.4828
Fe2 Fe 0.5000 0.5000 0.3006
Rh1 Rh 0.5000 0.5000 0.7117



2.
# Pm3Ge4 (PBE, optimized geometry)
# DFT formation energy, meV per atom: -796
data_Pm3Ge4
_chemical_formula_sum 'Pm12 Ge16'
_symmetry_space_group_name_H-M 'C m c m'
_symmetry_Int_Tables_number 63
_symmetry_space_group_name_Hall '-C 2c 2'
_cell_length_a 4.1942
_cell_length_b 10.9696
_cell_length_c 14.5528
_cell_angle_alpha 90.00
_cell_angle_beta 90.00
_cell_angle_gamma 90.00
loop_
_atom_site_label
_atom_site_type_symbol
_atom_site_fract_x
_atom_site_fract_y
_atom_site_fract_z
Pm1 Pm 0.0000 0.0371 0.2500
Pm2 Pm 0.0000 0.3255 0.0969
Ge1 Ge 0.0000 0.0000 0.0000
Ge2 Ge 0.0000 0.2375 0.7500
Ge3 Ge 0.0000 0.3856 0.6087



In the order shown, the computed volume values come out to 16.2, 23.9 Å³ per atom.
In the order shown, the computed total DFT energy (no corrections) values come out to -7.731, -5.470 eV per atom.